Entry 1:
PBE BeHgGe3, optimized geometry; VASP energy = -2.22 eV/atom; magnetic moment = 0.0 μB/cell; mass density = 5.07 g/cm³; excess energy over the best structure of this formula in the dataset = 88.9 kJ per mole of atoms; ΔE_f = 1.36 eV per atom
1.0
5.1936 0.0000 0.0000
0.0000 5.1936 0.0000
0.0000 0.0000 5.1936
Be Hg Ge
1 1 3
Direct
0.0000 0.0000 0.0000
0.5000 0.5000 0.5000
0.0000 0.5000 0.5000
0.5000 0.0000 0.5000
0.5000 0.5000 0.0000

Entry 2:
PBE Be2Hg2Ge, optimized geometry; VASP energy = -2.07 eV/atom; magnetic moment = 0.0 μB/cell; mass density = 9.68 g/cm³; ΔE_f = 0.46 eV per atom
1.0
6.3696 0.0000 0.0000
0.0000 6.3696 0.0000
0.0000 0.0000 4.1605
Be Hg Ge
4 4 2
Direct
0.1309 0.3691 0.0000
0.3691 0.8691 0.0000
0.6309 0.1309 0.0000
0.8691 0.6309 0.0000
0.1689 0.6689 0.5000
0.3311 0.1689 0.5000
0.6689 0.8311 0.5000
0.8311 0.3311 0.5000
0.0000 0.0000 0.0000
0.5000 0.5000 0.0000

Entry 3:
PBE Be3HgGe, optimized geometry; VASP energy = -2.39 eV/atom; magnetic moment = 0.0 μB/cell; mass density = 6.07 g/cm³; excess energy over the best structure of this formula in the dataset = 0.0 kJ per mole of atoms; ΔE_f = 0.83 eV per atom
1.0
4.3476 0.0000 0.0000
0.0000 4.3476 0.0000
0.0000 0.0000 4.3476
Be Hg Ge
3 1 1
Direct
0.0000 0.0000 0.5000
0.0000 0.5000 0.0000
0.5000 0.0000 0.0000
0.5000 0.5000 0.5000
0.0000 0.0000 0.0000

Entry 4:
PBE K2BeHgGe, optimized geometry; VASP energy = -2.08 eV/atom; magnetic moment = 0.0 μB/cell; mass density = 3.29 g/cm³; ΔE_f = 0.08 eV per atom
1.0
6.5895 0.0000 0.0000
0.0000 6.5895 0.0000
0.0000 0.0000 4.1843
K Be Hg Ge
2 1 1 1
Direct
0.0000 0.5000 0.0000
0.5000 0.0000 0.0000
0.0000 0.0000 0.5000
0.5000 0.5000 0.5000
0.0000 0.0000 0.0000

- Among the records above, which one has the lowest VASP energy?
  Be3HgGe

- The lowest mass density belongs to which entry?
  K2BeHgGe

- What is the magnetic moment in the first record?
  0.0 μB/cell